## Be2InP (PBE)

Data for crystalline Be2InP at its relaxed geometry.

The structure in POSCAR format:
```
Be2InP
1.0
3.0070 0.0000 0.0000
0.0000 3.0070 0.0000
0.0000 0.0000 6.5712
P Be In
1 2 1
direct
0.5000 0.5000 0.7500
0.0000 0.0000 0.9126
0.0000 0.0000 0.5874
0.5000 0.5000 0.2500
```

density: 4578 kg/m³
offset from the most stable computed form: 6.74 kcal/mol of atoms
energy of formation: 0.44 eV per atom
DOS at the Fermi energy: 1.0 states/eV per cell